Material: TbYEr2Tl2
Method: DFT, GGA-PBE
State: optimized geometry

```
12
Lattice="5.0790 0.0000 0.0000 0.0000 9.9671 0.0000 0.0000 0.0000 6.7844" Properties=species:S:1:pos:R:3 pbc="T T T"
Tb 0.0000 0.4055 0.0000
Tb 0.0000 9.5616 3.3922
Y 2.5395 1.8831 4.8827
Y 2.5395 8.0839 1.4905
Er 0.0000 3.1324 2.5191
Er 0.0000 6.8347 5.9113
Er 2.5395 4.5715 0.6075
Er 2.5395 5.3955 3.9997
Tl 0.0000 3.6703 5.6700
Tl 0.0000 6.2967 2.2778
Tl 2.5395 1.3551 1.7207
Tl 2.5395 8.6119 5.1129
```

Results
ΔH_f (0 K) in meV per atom: -275
ρ in g/cm3: 9.58
Total DFT energy (no corrections) in eV/cell: -53.20
DOS at the Fermi energy in states/eV per cell: 12.15
Volume in Å³/cell: 343.4
Crystal system: orthorhombic
Total moment in Bohr magnetons per cell: 0.0